# 1
LaMgIn after structural relaxation. Source: Alexandria via LeMat-Bulk, functional GGA-PBE.

Summary:
The calculation puts the density of states at the Fermi level at 6.7 states/eV per cell. The calculated formation energy comes out at -0.351 eV/atom. Its size of the total moment is 0.00 μB/atom. The calculation puts the total energy at -3.44 eV/atom. As for the space group: Imm2 (44).

Cell lengths 5.102, 6.368, 6.368 Å; angles 91.86, 66.39, 113.61 degrees
Atoms (fractional coordinates):
1 Mg 0.759 0.821 0.721
2 Mg 0.247 0.308 0.233
3 La 0.003 0.390 0.803
4 La 0.503 0.905 0.318
5 In 0.778 0.505 0.368
6 In 0.227 0.955 0.918


# 2
La4MgIn12 after structural relaxation. Source: Alexandria via LeMat-Bulk, functional GGA-PBE.

Summary:
The calculation puts the density of states at the Fermi level at 8.1 states/eV per cell. The calculated formation energy comes out at -0.437 eV/atom. Its size of the total moment is 0.00 μB/atom. The calculation puts the total energy at -3.62 eV/atom. As for the space group: Im-3m (229).

Cell lengths 8.436, 8.436, 8.436 Å; angles 109.47, 109.47, 109.47 degrees
Atoms (fractional coordinates):
1 La 0.000 0.000 0.500
2 La 0.500 0.000 0.000
3 La 0.500 0.500 0.500
4 La 0.000 0.500 0.000
5 Mg 0.000 0.000 0.000
6 In 0.000 0.298 0.298
7 In 0.000 0.702 0.702
8 In 0.702 0.702 0.000
9 In 0.298 0.298 0.000
10 In 0.298 0.000 0.298
11 In 0.702 0.000 0.702
12 In 0.500 0.250 0.750
13 In 0.500 0.750 0.250
14 In 0.750 0.250 0.500
15 In 0.250 0.750 0.500
16 In 0.750 0.500 0.250
17 In 0.250 0.500 0.750


# 3
LaMgIn4 after structural relaxation. Source: Alexandria via LeMat-Bulk, functional GGA-PBE.

Summary:
The calculation puts the density of states at the Fermi level at 6.4 states/eV per cell. The calculated formation energy comes out at -0.147 eV/atom. Its size of the total moment is 0.00 μB/atom. The calculation puts the total energy at -3.06 eV/atom. As for the space group: F-43m (216).

Cell lengths 6.151, 6.151, 6.151 Å; angles 60.00, 60.00, 60.00 degrees
Atoms (fractional coordinates):
1 In 0.124 0.625 0.625
2 In 0.625 0.625 0.625
3 In 0.625 0.124 0.625
4 In 0.625 0.625 0.124
5 La 0.250 0.250 0.250
6 Mg 0.000 0.000 0.000


# 4
LaMgIn3 after structural relaxation. Source: Alexandria via LeMat-Bulk, functional GGA-PBE.

Summary:
The calculation puts the density of states at the Fermi level at 4.7 states/eV per cell. The calculated formation energy comes out at 0.717 eV/atom. Its size of the total moment is 0.00 μB/atom. The calculation puts the total energy at -2.23 eV/atom. As for the space group: Pm-3m (221).

Cell lengths 6.078, 6.078, 6.078 Å; angles 90.00, 90.00, 90.00 degrees
Atoms (fractional coordinates):
1 Mg 0.500 0.500 0.500
2 In 0.000 0.500 0.000
3 In 0.000 0.000 0.500
4 In 0.500 0.000 0.000
5 La 0.000 0.000 0.000


# 5
LaMgIn after structural relaxation. Source: Alexandria via LeMat-Bulk, functional GGA-PBE.

Summary:
The calculation puts the density of states at the Fermi level at 2.3 states/eV per cell. The calculated formation energy comes out at -0.274 eV/atom. Its size of the total moment is 0.00 μB/atom. The calculation puts the total energy at -3.36 eV/atom. As for the space group: P-1 (2).

Cell lengths 4.853, 6.036, 6.889 Å; angles 65.58, 110.64, 113.39 degrees
Atoms (fractional coordinates):
1 Mg 0.062 0.900 0.832
2 Mg 0.755 0.418 0.706
3 La 0.065 0.389 0.353
4 La 0.753 0.929 0.185
5 In 0.425 0.908 0.549
6 In 0.393 0.409 0.989


# 6
LaMgIn after structural relaxation. Source: Alexandria via LeMat-Bulk, functional GGA-PBE.

Summary:
The calculation puts the density of states at the Fermi level at 3.7 states/eV per cell. The calculated formation energy comes out at -0.358 eV/atom. Its size of the total moment is 0.05 μB/atom. The calculation puts the total energy at -3.44 eV/atom. As for the space group: P4/nmm (129).

Cell lengths 4.737, 4.737, 7.822 Å; angles 90.01, 90.00, 90.00 degrees
Atoms (fractional coordinates):
1 Mg 0.825 0.000 0.344
2 Mg 0.325 0.500 0.344
3 La 0.325 0.000 0.013
4 La 0.825 0.500 0.675
5 In 0.825 0.500 0.105
6 In 0.325 0.000 0.584


# 7
LaMgIn4 after structural relaxation. Source: Alexandria via LeMat-Bulk, functional GGA-PBE.

Summary:
The calculation puts the density of states at the Fermi level at 3.3 states/eV per cell. The calculated formation energy comes out at -0.051 eV/atom. Its size of the total moment is 0.00 μB/atom. The calculation puts the total energy at -2.96 eV/atom. As for the space group: P4/mmm (123).

Cell lengths 4.676, 4.676, 8.432 Å; angles 90.00, 90.00, 90.00 degrees
Atoms (fractional coordinates):
1 La 0.000 0.000 0.000
2 Mg 0.500 0.500 0.500
3 In 0.500 0.000 0.713
4 In 0.000 0.500 0.713
5 In 0.500 0.000 0.287
6 In 0.000 0.500 0.287


# 8
La5MgIn3 after structural relaxation. Source: Alexandria via LeMat-Bulk, functional GGA-PBE.

Summary:
The calculation puts the density of states at the Fermi level at 20.7 states/eV per cell. The calculated formation energy comes out at -0.367 eV/atom. Its size of the total moment is 0.00 μB/atom. The calculation puts the total energy at -4.19 eV/atom. As for the space group: P6_3/mcm (193).

Cell lengths 6.897, 9.803, 9.802 Å; angles 120.00, 90.00, 90.00 degrees
Atoms (fractional coordinates):
1 La 0.000 0.667 0.333
2 La 0.500 0.333 0.667
3 La 0.000 0.333 0.667
4 La 0.500 0.667 0.333
5 La 0.750 0.690 0.690
6 La 0.750 0.000 0.310
7 La 0.750 0.310 0.000
8 La 0.250 0.310 0.310
9 La 0.250 0.000 0.690
10 La 0.250 0.690 0.000
11 Mg 0.000 0.000 0.000
12 Mg 0.500 0.000 0.000
13 In 0.750 0.352 0.352
14 In 0.750 0.000 0.648
15 In 0.750 0.648 0.000
16 In 0.250 0.648 0.648
17 In 0.250 0.000 0.352
18 In 0.250 0.352 0.000


# 9
La2Mg2In3 after structural relaxation. Source: Alexandria via LeMat-Bulk, functional GGA-PBE.

Summary:
The calculation puts the density of states at the Fermi level at 6.9 states/eV per cell. The calculated formation energy comes out at -0.414 eV/atom. Its size of the total moment is 0.00 μB/atom. The calculation puts the total energy at -3.45 eV/atom. As for the space group: Cmcm (63).

Cell lengths 4.801, 7.856, 10.742 Å; angles 90.00, 102.91, 90.00 degrees
Atoms (fractional coordinates):
1 La 0.155 0.250 0.310
2 La 0.845 0.750 0.690
3 La 0.950 0.250 0.900
4 La 0.050 0.750 0.100
5 Mg 0.690 0.943 0.381
6 Mg 0.310 0.057 0.619
7 Mg 0.310 0.443 0.619
8 Mg 0.690 0.557 0.381
9 In 0.223 0.750 0.446
10 In 0.777 0.250 0.554
11 In 0.562 0.433 0.124
12 In 0.438 0.567 0.876
13 In 0.438 0.933 0.876
14 In 0.562 0.067 0.124


# 10
LaMg6In4 after structural relaxation. Source: Alexandria via LeMat-Bulk, functional GGA-PBE.

Summary:
The calculation puts the density of states at the Fermi level at 2.4 states/eV per cell. The calculated formation energy comes out at -0.168 eV/atom. Its size of the total moment is 0.00 μB/atom. The calculation puts the total energy at -2.48 eV/atom. As for the space group: P-6m2 (187).

Cell lengths 4.618, 8.310, 8.310 Å; angles 120.00, 90.00, 90.00 degrees
Atoms (fractional coordinates):
1 La 0.000 0.000 0.000
2 Mg 0.000 0.534 0.069
3 Mg 0.500 0.589 0.794
4 Mg 0.000 0.534 0.466
5 Mg 0.000 0.931 0.466
6 Mg 0.500 0.206 0.794
7 Mg 0.500 0.206 0.411
8 In 0.500 0.806 0.612
9 In 0.500 0.388 0.194
10 In 0.500 0.806 0.194
11 In 0.000 0.333 0.667


# 11
La3Mg2In after structural relaxation. Source: Alexandria via LeMat-Bulk, functional GGA-PBE.

Summary:
The calculation puts the density of states at the Fermi level at 8.3 states/eV per cell. The calculated formation energy comes out at -0.244 eV/atom. Its size of the total moment is 0.00 μB/atom. The calculation puts the total energy at -3.70 eV/atom. As for the space group: P4/mmm (123).

Cell lengths 3.960, 3.960, 11.906 Å; angles 90.00, 90.00, 90.00 degrees
Atoms (fractional coordinates):
1 La 0.000 0.000 0.000
2 La 0.000 0.000 0.664
3 La 0.000 0.000 0.336
4 Mg 0.500 0.500 0.836
5 Mg 0.500 0.500 0.164
6 In 0.500 0.500 0.500


# 12
LaMg6In2 after structural relaxation. Source: Alexandria via LeMat-Bulk, functional GGA-PBE.

Summary:
The calculation puts the density of states at the Fermi level at 2.5 states/eV per cell. The calculated formation energy comes out at -0.177 eV/atom. Its size of the total moment is 0.00 μB/atom. The calculation puts the total energy at -2.40 eV/atom. As for the space group: P4/mmm (123).

Cell lengths 4.643, 4.643, 10.509 Å; angles 90.00, 90.00, 90.00 degrees
Atoms (fractional coordinates):
1 La 0.000 0.000 0.000
2 Mg 0.000 0.500 0.296
3 Mg 0.500 0.000 0.296
4 Mg 0.000 0.500 0.704
5 Mg 0.500 0.000 0.704
6 Mg 0.500 0.500 0.500
7 Mg 0.000 0.000 0.500
8 In 0.500 0.500 0.132
9 In 0.500 0.500 0.868